Computed, not measured: crystalline Nb2OF8 at its relaxed geometry at the PBE level of DFT.

Raw formation energy, meV/atom: -2952.9
Total moment, μB/cell: 0.45

The structure in POSCAR format:
```
Nb2OF8
1.0
5.389 0.000 0.000
0.000 9.362 -0.076
0.000 3.757 15.088
Nb O F
8 4 32
Direct
0.785 0.910 0.880
0.215 0.910 0.380
0.097 0.551 0.842
0.097 0.449 0.658
0.903 0.551 0.342
0.903 0.449 0.158
0.785 0.090 0.620
0.215 0.090 0.120
0.955 0.715 0.861
0.045 0.715 0.361
0.955 0.285 0.639
0.045 0.285 0.139
0.919 0.000 0.750
0.111 0.949 0.915
0.668 0.813 0.991
0.521 0.849 0.815
0.663 0.902 0.621
0.081 0.000 0.250
0.889 0.949 0.415
0.332 0.813 0.491
0.479 0.849 0.315
0.337 0.902 0.121
0.232 0.635 0.719
0.407 0.543 0.898
0.934 0.597 0.574
0.838 0.500 0.750
0.768 0.635 0.219
0.934 0.403 0.926
0.593 0.543 0.398
0.407 0.457 0.602
0.066 0.597 0.074
0.232 0.365 0.781
0.162 0.500 0.250
0.066 0.403 0.426
0.593 0.457 0.102
0.768 0.365 0.281
0.663 0.098 0.879
0.521 0.151 0.685
0.668 0.187 0.509
0.111 0.051 0.585
0.337 0.098 0.379
0.479 0.151 0.185
0.332 0.187 0.009
0.889 0.051 0.085
```

Computed, not measured: crystalline NbO2F5 at its relaxed geometry at the PBE level of DFT.

Raw formation energy, meV/atom: -2204.4
Total moment, μB/cell: 2.00

The structure in POSCAR format:
```
NbO2F5
1.0
3.888 0.007 2.006
1.821 5.702 1.205
-0.665 0.241 6.070
Nb O F
1 2 5
Direct
0.037 0.000 0.000
0.612 0.498 0.501
0.331 0.502 0.497
0.786 0.987 0.324
0.097 0.675 0.014
0.788 0.324 0.986
0.098 0.013 0.676
0.474 0.000 0.000
```

Computed, not measured: crystalline NbOF at its relaxed geometry at the PBE level of DFT.

Raw formation energy, meV/atom: -2304.3
Total moment, μB/cell: 0.00

The structure in POSCAR format:
```
NbOF
1.0
-1.352 -2.583 -0.550
2.963 0.153 -0.004
0.198 -3.432 15.626
Nb O F
3 3 3
Direct
0.000 0.000 0.590
0.333 0.667 0.257
0.667 0.333 0.923
0.000 0.000 0.848
0.333 0.667 0.515
0.667 0.333 0.181
0.000 0.000 0.010
0.333 0.667 0.677
0.667 0.333 0.344
```

Computed, not measured: crystalline NbOF at its relaxed geometry at the PBE level of DFT.

Raw formation energy, meV/atom: -2188.1
Total moment, μB/cell: 0.00

The structure in POSCAR format:
```
NbOF
1.0
-0.416 -2.741 -0.076
3.046 -0.478 0.578
-1.453 0.007 7.666
Nb O F
2 2 2
Direct
0.500 0.000 0.932
0.500 0.500 0.432
0.000 0.000 0.368
0.000 0.500 0.868
0.500 0.000 0.648
0.500 0.500 0.148
```

Computed, not measured: crystalline Nb2O2F3 at its relaxed geometry at the PBE level of DFT.

Raw formation energy, meV/atom: -2688.2
Total moment, μB/cell: 1.98

The structure in POSCAR format:
```
Nb2O2F3
1.0
-4.967 1.243 -1.209
0.522 -2.822 -5.044
0.311 -4.765 5.245
Nb O F
4 4 6
Direct
0.405 0.313 0.320
0.595 0.687 0.680
0.084 0.187 0.680
0.916 0.813 0.320
0.243 0.639 0.402
0.757 0.361 0.598
0.160 0.139 0.403
0.840 0.861 0.597
0.113 0.250 0.000
0.887 0.750 0.000
0.555 0.973 0.209
0.445 0.027 0.791
0.655 0.473 0.209
0.345 0.527 0.791
```

Computed, not measured: crystalline NbOF at its relaxed geometry at the PBE level of DFT.

Raw formation energy, meV/atom: -2048.4
Total moment, μB/cell: 1.15

The structure in POSCAR format:
```
NbOF
1.0
-2.833 -1.211 1.068
1.750 -2.540 1.762
-0.721 3.092 1.593
Nb O F
1 1 1
Direct
0.390 0.667 0.333
0.511 0.333 0.667
0.099 0.000 0.000
```

Computed, not measured: crystalline Nb2OF at its relaxed geometry at the PBE level of DFT.

Raw formation energy, meV/atom: -535.7
Total moment, μB/cell: 0.00

The structure in POSCAR format:
```
Nb2OF
1.0
0.000 2.914 2.914
2.914 0.000 2.914
2.914 2.914 0.000
Nb O F
2 1 1
Direct
0.250 0.250 0.250
0.750 0.750 0.750
0.000 0.000 0.000
0.500 0.500 0.500
```

Computed, not measured: crystalline NbOF at its relaxed geometry at the PBE level of DFT.

Raw formation energy, meV/atom: -2165.9
Total moment, μB/cell: 0.00

The structure in POSCAR format:
```
NbOF
1.0
5.017 0.000 0.003
0.000 2.821 0.000
-4.378 0.000 5.548
Nb O F
2 2 2
Direct
0.157 0.000 0.314
0.157 0.500 0.814
0.100 0.000 0.574
0.100 0.500 0.074
0.589 0.000 0.062
0.589 0.500 0.562
```

Computed, not measured: crystalline NbOF at its relaxed geometry at the PBE level of DFT.

Raw formation energy, meV/atom: -2097.9
Total moment, μB/cell: 0.00

The structure in POSCAR format:
```
NbOF
1.0
3.584 0.000 0.000
-1.792 3.104 0.000
0.000 0.000 8.412
Nb O F
2 2 2
Direct
0.667 0.333 0.634
0.333 0.667 0.366
0.667 0.333 0.358
0.333 0.667 0.642
0.667 0.333 0.861
0.333 0.667 0.139
```

Computed, not measured: crystalline Nb2OF8 at its relaxed geometry at the PBE level of DFT.

Raw formation energy, meV/atom: -2898.1
Total moment, μB/cell: 0.06

The structure in POSCAR format:
```
Nb2OF8
1.0
-2.610 1.560 2.857
3.965 -1.943 5.762
3.800 6.060 1.240
Nb O F
2 1 8
Direct
0.139 0.829 0.829
0.861 0.171 0.171
0.000 0.000 0.000
0.768 0.965 0.368
0.232 0.632 0.035
0.644 0.828 0.828
0.356 0.172 0.172
0.768 0.368 0.965
0.232 0.035 0.632
0.125 0.661 0.661
0.875 0.339 0.339
```

Computed, not measured: crystalline NbOsO2F at its relaxed geometry at the PBE level of DFT.

Raw formation energy, meV/atom: -289.5
Total moment, μB/cell: 3.71

The structure in POSCAR format:
```
NbOsO2F
1.0
-0.049 -2.833 2.326
3.334 -1.001 -1.149
2.682 3.699 4.561
Nb Os O F
1 1 2 1
Direct
0.500 0.500 0.500
0.000 0.000 0.000
0.000 0.500 0.000
0.500 0.000 0.000
0.000 0.000 0.500
```

Computed, not measured: crystalline NbOsOF2 at its relaxed geometry at the PBE level of DFT.

Raw formation energy, meV/atom: -57.8
Total moment, μB/cell: 2.74

The structure in POSCAR format:
```
NbOsOF2
1.0
4.474 0.000 0.000
0.000 4.474 0.000
0.000 0.000 3.734
Nb Os O F
1 1 1 2
Direct
0.500 0.500 0.500
0.000 0.000 0.000
0.000 0.000 0.500
0.000 0.500 0.000
0.500 0.000 0.000
```

Computed, not measured: crystalline NbOsOF2 at its relaxed geometry at the PBE level of DFT.

Raw formation energy, meV/atom: -467.2
Total moment, μB/cell: 2.96

The structure in POSCAR format:
```
NbOsOF2
1.0
-2.719 -0.050 3.385
-2.920 -2.161 -2.378
1.565 -3.442 1.206
Nb Os O F
1 1 1 2
Direct
0.000 0.000 0.000
0.500 0.500 0.500
0.000 0.000 0.500
0.000 0.500 0.000
0.500 0.000 0.000
```

Computed, not measured: crystalline NbOsO2F at its relaxed geometry at the PBE level of DFT.

Raw formation energy, meV/atom: -489.5
Total moment, μB/cell: 2.83

The structure in POSCAR format:
```
NbOsO2F
1.0
-2.590 3.045 0.486
-3.029 -2.393 -1.148
-0.607 -1.157 4.013
Nb Os O F
1 1 2 1
Direct
0.000 0.000 0.000
0.500 0.500 0.500
0.000 0.500 0.000
0.500 0.000 0.000
0.000 0.000 0.500
```

Computed, not measured: crystalline NbPOF2 at its relaxed geometry at the PBE level of DFT.

Raw formation energy, meV/atom: -397.6
Total moment, μB/cell: 2.61

The structure in POSCAR format:
```
NbPOF2
1.0
4.597 0.000 0.000
0.000 4.597 0.000
0.000 0.000 3.379
P Nb O F
1 1 1 2
Direct
0.000 0.000 0.000
0.500 0.500 0.500
0.000 0.000 0.500
0.000 0.500 0.000
0.500 0.000 0.000
```

Computed, not measured: crystalline NbPOF2 at its relaxed geometry at the PBE level of DFT.

Raw formation energy, meV/atom: -1241.4
Total moment, μB/cell: 2.02

The structure in POSCAR format:
```
NbPOF2
1.0
4.331 0.000 0.000
0.000 4.331 0.000
0.000 0.000 3.948
P Nb O F
1 1 1 2
Direct
0.500 0.500 0.500
0.000 0.000 0.000
0.000 0.000 0.500
0.000 0.500 0.000
0.500 0.000 0.000
```

Computed, not measured: crystalline NbPO4F2 at its relaxed geometry at the PBE level of DFT.

Raw formation energy, meV/atom: -2361.5
Total moment, μB/cell: 0.00

The structure in POSCAR format:
```
NbPO4F2
1.0
-4.020 -3.914 1.082
0.521 -2.611 -7.508
3.815 -3.508 1.485
Nb P O F
2 2 8 4
Direct
0.210 0.244 0.500
0.710 0.756 0.000
0.528 0.872 0.500
0.028 0.128 0.000
0.280 0.083 0.000
0.780 0.917 0.500
0.363 0.036 0.500
0.863 0.964 0.000
0.453 0.775 0.741
0.953 0.225 0.241
0.953 0.225 0.759
0.453 0.775 0.259
0.357 0.389 0.270
0.357 0.389 0.730
0.857 0.611 0.770
0.857 0.611 0.230
```

Computed, not measured: crystalline Pa2NbO8F at its relaxed geometry at the PBE level of DFT.

Raw formation energy, meV/atom: -2605.8
Total moment, μB/cell: 0.00

The structure in POSCAR format:
```
Pa2NbO8F
1.0
-3.857 1.500 -2.271
-1.774 -4.302 0.798
-2.976 2.365 6.491
Pa Nb O F
2 1 8 1
Direct
0.497 0.497 0.748
0.503 0.503 0.252
0.000 0.000 0.000
0.198 0.788 0.192
0.695 0.695 0.997
0.788 0.198 0.192
0.802 0.212 0.808
0.305 0.305 0.003
0.212 0.802 0.808
0.702 0.702 0.501
0.298 0.298 0.499
0.000 0.000 0.500
```

Computed, not measured: crystalline PaNbO4F at its relaxed geometry at the PBE level of DFT.

Raw formation energy, meV/atom: -3054.0
Total moment, μB/cell: 1.87

The structure in POSCAR format:
```
PaNbO4F
1.0
-1.131 5.015 3.439
-2.978 -1.889 5.080
4.889 -0.089 5.124
Pa Nb O F
2 2 8 2
Direct
0.217 0.217 0.896
0.783 0.783 0.104
0.651 0.651 0.712
0.349 0.349 0.288
0.261 0.261 0.563
0.739 0.739 0.437
0.094 0.485 0.155
0.547 0.547 0.214
0.515 0.906 0.845
0.485 0.094 0.155
0.453 0.453 0.786
0.906 0.515 0.845
0.014 0.014 0.168
0.986 0.986 0.832
```

Computed, not measured: crystalline NbPb2O4F at its relaxed geometry at the PBE level of DFT.

Raw formation energy, meV/atom: -1891.0
Total moment, μB/cell: 0.00

The structure in POSCAR format:
```
NbPb2O4F
1.0
-3.239 -0.104 0.291
-1.076 -3.698 4.888
-1.236 3.585 5.712
Nb Pb O F
1 2 4 1
Direct
0.000 0.000 0.000
0.810 0.711 0.669
0.190 0.289 0.331
0.150 0.006 0.695
0.411 0.227 0.952
0.850 0.994 0.305
0.589 0.773 0.048
0.500 0.500 0.500
```